An optimized crystal structure of Li4Pa3GaN8, computed with PBE.

**Fermi-level density of states**: 9.63 states/eV/f.u.
**Formation energy from raw total energies**: -0.8104 eV/atom

Cell lengths 11.579, 6.534, 6.258 Å; angles 90.00, 117.78, 90.00 degrees
Space group C2/m (No. 12)
Inequivalent atoms, fractional coordinates:
1 Li 0.000 0.000 0.000
2 Li 0.000 0.500 0.000
3 Li 0.250 0.250 0.500
4 Pa 0.000 0.000 0.500
5 Pa 0.250 0.250 0.000
6 Ga 0.000 0.500 0.500
7 N 0.022 0.266 0.746
8 N 0.227 0.000 0.213
9 N 0.228 0.000 0.737



An optimized crystal structure of LiPmGaN2, computed with PBE.

**Fermi-level density of states**: 2.49 states/eV/f.u.
**Formation energy from raw total energies**: -0.4677 eV/atom

Cell lengths 5.530, 3.918, 6.481 Å; angles 90.00, 94.29, 90.00 degrees
Space group P2/c (No. 13)
Inequivalent atoms, fractional coordinates:
1 Li 0.000 0.021 0.250
2 Pm 0.500 0.256 0.750
3 Ga 0.000 0.500 0.000
4 N 0.263 0.215 0.071



An optimized crystal structure of Li4Pu3GaN8, computed with PBE.

**Fermi-level density of states**: 14.76 states/eV/f.u.
**Formation energy from raw total energies**: -0.6120 eV/atom

Cell lengths 11.054, 6.486, 6.253 Å; angles 90.00, 120.45, 90.00 degrees
Space group C2/m (No. 12)
Inequivalent atoms, fractional coordinates:
1 Li 0.000 0.000 0.000
2 Li 0.000 0.500 0.000
3 Li 0.250 0.250 0.500
4 Pu 0.000 0.000 0.500
5 Pu 0.250 0.250 0.000
6 Ga 0.000 0.500 0.500
7 N 0.019 0.253 0.745
8 N 0.232 0.000 0.752
9 N 0.244 0.000 0.217



An optimized crystal structure of Li2GaReN, computed with PBE.

**Fermi-level density of states**: 2.46 states/eV/f.u.
**Formation energy from raw total energies**: -0.1732 eV/atom

Cell lengths 3.937, 3.937, 3.943 Å; angles 90.00, 90.00, 90.00 degrees
Space group P4/mmm (No. 123)
Inequivalent atoms, fractional coordinates:
1 Li 0.000 0.500 0.000
2 Ga 0.000 0.000 0.500
3 Re 0.500 0.500 0.500
4 N 0.500 0.500 0.000



An optimized crystal structure of LiGa2RhN, computed with PBE.

**Fermi-level density of states**: 3.12 states/eV/f.u.
**Formation energy from raw total energies**: 0.3179 eV/atom

Cell lengths 5.106, 5.106, 3.705 Å; angles 90.00, 90.00, 90.00 degrees
Space group P4/mmm (No. 123)
Inequivalent atoms, fractional coordinates:
1 Li 0.000 0.000 0.000
2 Ga 0.000 0.500 0.500
3 Rh 0.500 0.500 0.500
4 N 0.500 0.500 0.000



An optimized crystal structure of Li2GaRhN, computed with PBE.

**Fermi-level density of states**: 2.28 states/eV/f.u.
**Formation energy from raw total energies**: -0.2866 eV/atom

Cell lengths 4.126, 4.126, 3.800 Å; angles 90.00, 90.00, 90.00 degrees
Space group P4/mmm (No. 123)
Inequivalent atoms, fractional coordinates:
1 Li 0.000 0.500 0.000
2 Ga 0.000 0.000 0.500
3 Rh 0.500 0.500 0.500
4 N 0.500 0.500 0.000



An optimized crystal structure of Li2GaRuN, computed with PBE.

**Fermi-level density of states**: 2.00 states/eV/f.u.
**Formation energy from raw total energies**: -0.2659 eV/atom

Cell lengths 4.013, 4.013, 3.828 Å; angles 90.00, 90.00, 90.00 degrees
Space group P4/mmm (No. 123)
Inequivalent atoms, fractional coordinates:
1 Li 0.000 0.500 0.000
2 Ga 0.000 0.000 0.500
3 Ru 0.500 0.500 0.500
4 N 0.500 0.500 0.000



An optimized crystal structure of LiGaRu2N, computed with PBE.

**Fermi-level density of states**: 1.40 states/eV/f.u.
**Formation energy from raw total energies**: -0.1929 eV/atom

Cell lengths 3.987, 3.987, 3.884 Å; angles 90.00, 90.00, 90.00 degrees
Space group P4/mmm (No. 123)
Inequivalent atoms, fractional coordinates:
1 Li 0.000 0.000 0.000
2 Ga 0.500 0.500 0.000
3 Ru 0.000 0.500 0.500
4 N 0.000 0.000 0.500



An optimized crystal structure of LiGaSN2, computed with PBE.

**Fermi-level density of states**: 1.68 states/eV/f.u.
**Formation energy from raw total energies**: 1.4395 eV/atom
**Relative energy among the computed polymorphs**: 579 meV per atom

Cell lengths 3.620, 3.620, 5.252 Å; angles 90.00, 90.00, 90.00 degrees
Space group P4/mmm (No. 123)
Inequivalent atoms, fractional coordinates:
1 Li 0.000 0.000 0.000
2 Ga 0.500 0.500 0.500
3 S 0.000 0.000 0.500
4 N 0.000 0.500 0.000



An optimized crystal structure of LiGaSN2, computed with PBE.

**Fermi-level density of states**: 2.55 states/eV/f.u.
**Formation energy from raw total energies**: 0.8601 eV/atom
**Relative energy among the computed polymorphs**: 0 meV per atom

Cell lengths 3.911, 3.911, 5.136 Å; angles 90.00, 90.00, 90.00 degrees
Space group P4/mmm (No. 123)
Inequivalent atoms, fractional coordinates:
1 Li 0.000 0.000 0.000
2 Ga 0.500 0.500 0.500
3 S 0.500 0.500 0.000
4 N 0.000 0.500 0.500



An optimized crystal structure of LiSc2GaN, computed with PBE.

**Fermi-level density of states**: 2.97 states/eV/f.u.
**Formation energy from raw total energies**: -0.9132 eV/atom

Cell lengths 4.381, 4.381, 4.071 Å; angles 90.00, 90.00, 90.00 degrees
Space group P4/mmm (No. 123)
Inequivalent atoms, fractional coordinates:
1 Li 0.000 0.000 0.000
2 Sc 0.000 0.500 0.500
3 Ga 0.500 0.500 0.000
4 N 0.000 0.000 0.500



An optimized crystal structure of LiGaSeN2, computed with PBE.

**Fermi-level density of states**: 1.74 states/eV/f.u.
**Formation energy from raw total energies**: 0.8534 eV/atom
**Relative energy among the computed polymorphs**: 0 meV per atom

Cell lengths 3.933, 3.933, 5.452 Å; angles 90.00, 90.00, 90.00 degrees
Space group P4/mmm (No. 123)
Inequivalent atoms, fractional coordinates:
1 Li 0.000 0.000 0.000
2 Ga 0.500 0.500 0.500
3 Se 0.500 0.500 0.000
4 N 0.000 0.500 0.500



An optimized crystal structure of LiGaSeN2, computed with PBE.

**Fermi-level density of states**: 2.46 states/eV/f.u.
**Formation energy from raw total energies**: 1.4355 eV/atom
**Relative energy among the computed polymorphs**: 582 meV per atom

Cell lengths 3.771, 3.771, 5.402 Å; angles 90.00, 90.00, 90.00 degrees
Space group P4/mmm (No. 123)
Inequivalent atoms, fractional coordinates:
1 Li 0.000 0.000 0.000
2 Ga 0.500 0.500 0.500
3 Se 0.000 0.000 0.500
4 N 0.000 0.500 0.000



An optimized crystal structure of Sr2LiGaN, computed with PBE.

**Fermi-level density of states**: 3.64 states/eV/f.u.
**Formation energy from raw total energies**: -0.3121 eV/atom

Cell lengths 5.346, 5.346, 4.083 Å; angles 90.00, 90.00, 90.00 degrees
Space group P4/mmm (No. 123)
Inequivalent atoms, fractional coordinates:
1 Sr 0.000 0.500 0.000
2 Li 0.000 0.000 0.500
3 Ga 0.500 0.500 0.500
4 N 0.000 0.000 0.000



An optimized crystal structure of SrLiGaN, computed with PBE.

**Fermi-level density of states**: 0.34 states/eV/f.u.
**Formation energy from raw total energies**: -0.5134 eV/atom

Cell lengths 3.785, 3.785, 10.651 Å; angles 90.00, 90.00, 90.00 degrees
Space group I4mm (No. 107)
Inequivalent atoms, fractional coordinates:
1 Sr 0.000 0.000 0.000
2 Li 0.000 0.000 0.328
3 Ga 0.000 0.000 0.689
4 N 0.000 0.000 0.513



An optimized crystal structure of LiTaGa2N, computed with PBE.

**Fermi-level density of states**: 3.97 states/eV/f.u.
**Formation energy from raw total energies**: 1.4256 eV/atom

Cell lengths 3.896, 3.896, 4.876 Å; angles 90.00, 90.00, 90.00 degrees
Space group P4/mmm (No. 123)
Inequivalent atoms, fractional coordinates:
1 Li 0.000 0.000 0.000
2 Ta 0.000 0.000 0.500
3 Ga 0.000 0.500 0.000
4 N 0.500 0.500 0.500



An optimized crystal structure of Li2GaTcN, computed with PBE.

**Fermi-level density of states**: 2.42 states/eV/f.u.
**Formation energy from raw total energies**: -0.2556 eV/atom

Cell lengths 3.918, 3.918, 3.951 Å; angles 90.00, 90.00, 90.00 degrees
Space group P4/mmm (No. 123)
Inequivalent atoms, fractional coordinates:
1 Li 0.000 0.500 0.000
2 Ga 0.000 0.000 0.500
3 Tc 0.500 0.500 0.500
4 N 0.500 0.500 0.000



An optimized crystal structure of LiGaTe2N, computed with PBE.

**Fermi-level density of states**: 3.17 states/eV/f.u.
**Formation energy from raw total energies**: 0.2906 eV/atom
**Relative energy among the computed polymorphs**: 0 meV per atom

Cell lengths 5.959, 5.959, 3.455 Å; angles 90.00, 90.00, 90.00 degrees
Space group P4/mmm (No. 123)
Inequivalent atoms, fractional coordinates:
1 Li 0.000 0.000 0.000
2 Ga 0.500 0.500 0.500
3 Te 0.000 0.500 0.500
4 N 0.500 0.500 0.000



An optimized crystal structure of LiGaTe2N, computed with PBE.

**Fermi-level density of states**: 5.05 states/eV/f.u.
**Formation energy from raw total energies**: 0.7269 eV/atom
**Relative energy among the computed polymorphs**: 436 meV per atom

Cell lengths 5.387, 5.387, 3.504 Å; angles 90.00, 90.00, 90.00 degrees
Space group P4/mmm (No. 123)
Inequivalent atoms, fractional coordinates:
1 Li 0.000 0.000 0.000
2 Ga 0.500 0.500 0.500
3 Te 0.000 0.500 0.000
4 N 0.000 0.000 0.500



An optimized crystal structure of LiTi2GaN, computed with PBE.

**Fermi-level density of states**: 2.59 states/eV/f.u.
**Formation energy from raw total energies**: -0.8534 eV/atom

Cell lengths 4.084, 4.084, 3.964 Å; angles 90.00, 90.00, 90.00 degrees
Space group P4/mmm (No. 123)
Inequivalent atoms, fractional coordinates:
1 Li 0.000 0.000 0.000
2 Ti 0.000 0.500 0.500
3 Ga 0.500 0.500 0.000
4 N 0.000 0.000 0.500



An optimized crystal structure of Li3U3GaN8, computed with PBE.

**Formation energy from raw total energies**: -0.7953 eV/atom

Cell lengths 10.402, 7.113, 6.584 Å; angles 90.00, 123.96, 90.00 degrees
Space group C2/m (No. 12)
Inequivalent atoms, fractional coordinates:
1 Li 0.000 0.000 0.000
2 Li 0.250 0.250 0.500
3 U 0.000 0.500 0.500
4 U 0.250 0.250 0.000
5 Ga 0.000 0.000 0.500
6 N 0.016 0.274 0.738
7 N 0.219 0.000 0.752
8 N 0.246 0.500 0.779



An optimized crystal structure of LiV2GaN, computed with PBE.

**Fermi-level density of states**: 3.36 states/eV/f.u.
**Formation energy from raw total energies**: -0.5511 eV/atom

Cell lengths 3.902, 3.902, 3.924 Å; angles 90.00, 90.00, 90.00 degrees
Space group P4/mmm (No. 123)
Inequivalent atoms, fractional coordinates:
1 Li 0.000 0.000 0.000
2 V 0.000 0.500 0.500
3 Ga 0.500 0.500 0.000
4 N 0.000 0.000 0.500



An optimized crystal structure of Na2LiGa2, computed with PBE.

**Fermi-level density of states**: 2.01 states/eV/f.u.
**DFT formation energy**: 7.7 kJ/mol of atoms
**Relative energy among the computed polymorphs**: 49 meV per atom

Cell lengths 4.182, 4.182, 14.052 Å; angles 90.00, 90.00, 90.00 degrees
Space group I4/mmm (No. 139)
Inequivalent atoms, fractional coordinates:
1 Na 0.000 0.500 0.250
2 Li 0.000 0.000 0.000
3 Ga 0.000 0.000 0.413



An optimized crystal structure of NaLiGa6, computed with PBE.

**Fermi-level density of states**: 2.47 states/eV/f.u.
**DFT formation energy**: -8.9 kJ/mol of atoms
**Relative energy among the computed polymorphs**: 11 meV per atom

Cell lengths 4.498, 6.441, 5.284 Å; angles 90.00, 90.00, 90.00 degrees
Space group Pmm2 (No. 25)
Inequivalent atoms, fractional coordinates:
1 Na 0.000 0.000 0.000
2 Li 0.500 0.500 0.294
3 Ga 0.000 0.276 0.485
4 Ga 0.000 0.500 0.987
5 Ga 0.500 0.000 0.413
6 Ga 0.500 0.281 0.812



An optimized crystal structure of Na2LiGa2, computed with PBE.

**Fermi-level density of states**: 4.42 states/eV/f.u.
**DFT formation energy**: 6.5 kJ/mol of atoms
**Relative energy among the computed polymorphs**: 36 meV per atom

Cell lengths 8.657, 8.657, 3.200 Å; angles 90.00, 90.00, 90.00 degrees
Space group P4/mbm (No. 127)
Inequivalent atoms, fractional coordinates:
1 Na 0.186 0.314 0.000
2 Li 0.000 0.000 0.000
3 Ga 0.108 0.608 0.500



An optimized crystal structure of Na2LiGa, computed with PBE.

**Fermi-level density of states**: 1.99 states/eV/f.u.
**DFT formation energy**: 2.8 kJ/mol of atoms

Cell lengths 4.465, 4.465, 4.849 Å; angles 90.00, 90.00, 90.00 degrees
Space group P4/mmm (No. 123)
Inequivalent atoms, fractional coordinates:
1 Na 0.000 0.500 0.000
2 Li 0.000 0.000 0.500
3 Ga 0.500 0.500 0.500



| no. | energy (eV/atom) | ρ (Mg/m³) |
| --- | --- | --- |
| 1 | -7.42 | 7.16 |
| 2 | -5.74 | 5.92 |
| 3 | -8.13 | 8.09 |
| 4 | -5.70 | 7.71 |
| 5 | -4.41 | 4.53 |
| 6 | -4.79 | 5.15 |
| 7 | -5.16 | 5.35 |
| 8 | -6.56 | 7.88 |
| 9 | -3.70 | 3.30 |
| 10 | -4.28 | 2.89 |
| 11 | -6.10 | 3.84 |
| 12 | -4.16 | 3.62 |
| 13 | -3.58 | 3.97 |
| 14 | -3.64 | 3.78 |
| 15 | -4.25 | 3.88 |
| 16 | -4.20 | 7.66 |
| 17 | -5.36 | 5.36 |
| 18 | -3.62 | 4.68 |
| 19 | -3.18 | 5.65 |
| 20 | -6.66 | 4.68 |
| 21 | -8.08 | 7.53 |
| 22 | -6.85 | 5.35 |
| 23 | -2.04 | 2.60 |
| 24 | -2.77 | 4.86 |
| 25 | -2.05 | 2.66 |
| 26 | -1.87 | 2.11 |